Model a:
## Ta2CrFe (PBE)

Data for a relaxed Ta2CrFe crystal.

```
Ta2CrFe
1.0
-0.148 4.052 2.879
0.730 -4.129 2.673
2.657 0.268 0.673
Fe Cr Ta
1 1 2
Direct
0.000 0.500 0.500
0.500 0.000 0.500
0.000 0.000 0.000
0.500 0.500 0.000
```

The space group is C2/m (12).

Model b:
## Ta2CrFe (PBE)

Data for a relaxed Ta2CrFe crystal.

```
Ta2CrFe
1.0
0.718 -1.576 3.981
1.509 2.607 3.127
-2.581 1.161 3.292
Ta Cr Fe
2 1 1
Direct
0.750 0.750 0.750
0.250 0.250 0.250
0.000 0.000 0.000
0.500 0.500 0.500
```

The space group is Fm-3m (225).

Most favorable structure: model b. The second most favorable one is 240 meV per atom above it.

Model a:
## Ta2Cr2Fe (PBE)

Data for a relaxed Ta2Cr2Fe crystal.

```
Ta2Cr2Fe
1.0
3.819 0.000 0.000
0.000 3.819 0.000
1.910 1.910 5.537
Ta Cr Fe
2 2 1
Direct
0.750 0.250 0.500
0.250 0.750 0.500
0.418 0.418 0.165
0.582 0.582 0.835
0.000 0.000 0.000
```

The space group is I4/mmm (139).

Model b:
## Ta2Cr2Fe (PBE)

Data for a relaxed Ta2Cr2Fe crystal.

```
Ta2Cr2Fe
1.0
-5.777 0.889 -0.716
0.566 -0.981 -5.779
-0.704 -4.071 0.622
Fe Ta Cr
2 4 4
Direct
0.000 0.000 0.000
0.500 0.500 0.000
0.683 0.817 0.500
0.817 0.317 0.500
0.317 0.183 0.500
0.183 0.683 0.500
0.866 0.634 0.000
0.134 0.366 0.000
0.634 0.134 0.000
0.366 0.866 0.000
```

The space group is P4/mbm (127).

Most favorable structure: model b. The second most favorable one is 873 meV per atom above it.

Model a:
## CrFeTc (PBE)

Data for a relaxed CrFeTc crystal.

```
CrFeTc
1.0
4.464 0.000 -0.009
0.000 2.623 0.000
-1.478 0.000 12.604
Cr Fe Tc
4 4 4
Direct
0.249 0.000 0.299
0.249 0.500 0.799
0.635 0.500 0.967
0.635 0.000 0.467
0.738 0.000 0.812
0.351 0.000 0.644
0.351 0.500 0.144
0.738 0.500 0.312
0.841 0.000 0.145
0.841 0.500 0.645
0.148 0.500 0.478
0.148 0.000 0.978
```

The space group is Cm (8).

Model b:
## CrFeTc (PBE)

Data for a relaxed CrFeTc crystal.

```
CrFeTc
1.0
-1.816 -2.943 2.192
0.042 -0.222 -4.088
4.411 -2.584 0.186
Fe Tc Cr
2 2 2
Direct
0.667 0.333 0.583
0.667 0.333 0.100
0.333 0.667 0.845
0.000 0.000 0.575
0.000 0.000 0.090
0.333 0.667 0.335
```

The space group is P3m1 (156).

Most favorable structure: model a. The second most favorable one is 56 meV per atom above it.

Model a:
## Cr2FeTc2 (PBE)

Data for a relaxed Cr2FeTc2 crystal.

```
Cr2FeTc2
1.0
-2.627 -2.077 5.898
6.229 -1.425 2.273
0.230 2.670 1.043
Fe Tc Cr
2 4 4
Direct
0.000 0.000 0.000
0.500 0.500 0.000
0.836 0.336 0.500
0.336 0.164 0.500
0.164 0.664 0.500
0.664 0.836 0.500
0.140 0.360 0.000
0.640 0.140 0.000
0.360 0.860 0.000
0.860 0.640 0.000
```

The space group is P4/mbm (127).

Model b:
## Cr2FeTc2 (PBE)

Data for a relaxed Cr2FeTc2 crystal.

```
Cr2FeTc2
1.0
-1.465 -0.261 -3.667
0.284 -3.944 0.168
-4.964 -2.342 0.014
Tc Fe Cr
2 1 2
Direct
0.250 0.750 0.500
0.750 0.250 0.500
0.000 0.000 0.000
0.387 0.387 0.226
0.613 0.613 0.774
```

The space group is I4/mmm (139).

Most favorable structure: model a. The second most favorable one is 469 meV per atom above it.

Model a:
## CrFeTe2 (PBE)

Data for a relaxed CrFeTe2 crystal.

```
CrFeTe2
1.0
4.901 0.000 0.000
2.451 4.245 0.000
2.451 1.415 4.002
Te Fe Cr
2 1 1
Direct
0.000 0.000 0.000
0.250 0.250 0.250
0.750 0.750 0.750
0.500 0.500 0.500
```

The space group is F-43m (216).

Model b:
## CrFeTe2 (PBE)

Data for a relaxed CrFeTe2 crystal.

```
CrFeTe2
1.0
-7.948 2.504 1.039
-6.418 2.833 4.616
-5.869 5.668 1.989
Te Fe Cr
2 1 1
Direct
0.896 0.896 0.896
0.104 0.104 0.104
0.000 0.000 0.000
0.500 0.500 0.500
```

The space group is R-3m (166).

Most favorable structure: model b. The second most favorable one is 472 meV per atom above it.

Model a:
## CrFe2Te (PBE)

Data for a relaxed CrFe2Te crystal.

```
CrFe2Te
1.0
4.251 0.000 0.000
2.126 3.682 0.000
2.126 1.227 3.471
Te Fe Cr
1 2 1
Direct
0.750 0.750 0.750
0.000 0.000 0.000
0.250 0.250 0.250
0.500 0.500 0.500
```

The space group is F-43m (216).

Model b:
## CrFe2Te (PBE)

Data for a relaxed CrFe2Te crystal.

```
CrFe2Te
1.0
-6.302 -0.173 -1.733
3.006 -1.136 -2.161
-1.718 -3.025 -0.802
Te Fe Cr
1 2 1
Direct
0.000 0.500 0.500
0.500 0.000 0.500
0.000 0.000 0.000
0.500 0.500 0.000
```

The space group is P4/mmm (123).

Most favorable structure: model b. The second most favorable one is 9 meV per atom above it.

Model a:
## CrFe2Te (PBE)

Data for a relaxed CrFe2Te crystal.

```
CrFe2Te
1.0
3.741 0.000 0.000
0.000 3.741 0.000
1.870 1.870 9.273
Te Cr Fe
2 2 4
Direct
0.000 0.000 0.000
0.750 0.250 0.500
0.250 0.750 0.500
0.500 0.500 0.000
0.609 0.125 0.250
0.141 0.625 0.250
0.375 0.391 0.750
0.875 0.859 0.750
```

The space group is I-42d (122).

Model b:
## CrFe2Te (PBE)

Data for a relaxed CrFe2Te crystal.

```
CrFe2Te
1.0
-4.146 -0.689 1.445
-3.696 -2.109 -1.282
0.546 -3.928 2.135
Fe Te Cr
2 1 1
Direct
0.505 0.505 0.466
0.995 0.995 0.034
0.750 0.750 0.750
0.250 0.250 0.250
```

The space group is C2/m (12).

Most favorable structure: model b. The second most favorable one is 167 meV per atom above it.

Model a:
## CrFe2Te (PBE)

Data for a relaxed CrFe2Te crystal.

```
CrFe2Te
1.0
4.722 0.058 0.000
1.739 4.391 0.000
-3.231 -2.224 2.630
Fe Cr Te
2 1 1
Direct
0.250 0.750 0.500
0.000 0.000 0.000
0.750 0.250 0.500
0.500 0.500 0.000
```

The space group is I-4m2 (119).

Model b:
## CrFe2Te (PBE)

Data for a relaxed CrFe2Te crystal.

```
CrFe2Te
1.0
-6.253 3.205 -3.405
-7.304 0.445 -2.725
-7.324 2.634 -0.628
Fe Cr Te
2 1 1
Direct
0.489 0.489 0.489
0.011 0.011 0.011
0.750 0.750 0.750
0.250 0.250 0.250
```

The space group is R-3m (166).

Most favorable structure: model a. The second most favorable one is 261 meV per atom above it.